Record 1
First-principles (PBE) data for a relaxed structure of BaYSeN2, as listed in Alexandria via LeMat-Bulk. Values from VASP.

Geometry as Quantum ESPRESSO input:
```
&SYSTEM
  ibrav = 0, nat = 5, ntyp = 4
/
ATOMIC_SPECIES
Ba 137.33 Ba.upf
Y 88.91 Y.upf
Se 78.96 Se.upf
N 14.01 N.upf
CELL_PARAMETERS angstrom
4.495 0.000 0.000
0.000 4.495 0.000
0.000 0.000 6.132
ATOMIC_POSITIONS crystal
Ba 0.000 0.000 0.000
Y 0.500 0.500 0.500
Se 0.000 0.000 0.500
N 0.000 0.500 0.000
N 0.500 0.000 0.000
```

uncorrected energy: -24.89 eV per cell
M_tot: 1.02 μB/f.u.
crystal system: tetragonal
formation energy (no corrections): 0.73 eV/atom
SG: No. 123


Record 2
First-principles (PBE) data for a relaxed structure of BaYSe2N, as listed in Alexandria via LeMat-Bulk. Values from VASP.

Geometry as Quantum ESPRESSO input:
```
&SYSTEM
  ibrav = 0, nat = 5, ntyp = 4
/
ATOMIC_SPECIES
Ba 137.33 Ba.upf
Y 88.91 Y.upf
Se 78.96 Se.upf
N 14.01 N.upf
CELL_PARAMETERS angstrom
5.604 0.000 0.000
0.000 5.604 0.000
0.000 0.000 4.571
ATOMIC_POSITIONS crystal
Ba 0.000 0.000 0.000
Y 0.500 0.500 0.500
Se 0.000 0.500 0.500
Se 0.500 0.000 0.500
N 0.500 0.500 0.000
```

uncorrected energy: -28.76 eV per cell
M_tot: 2.01 μB/f.u.
crystal system: tetragonal
formation energy (no corrections): -1.02 eV/atom
SG: No. 123


Number 1: Fermi-level density of states 1.7 states/eV per cell. Number 2: Fermi-level density of states 2.4 states/eV per cell.